8
Lattice="-6.799 -1.491 1.754 1.778 0.073 6.954 -3.074 1.997 4.470" Properties=species:S:1:pos:R:3 comment="ZrGeOs2 (GGA-PBE, relaxed)" e_form_mev_per_atom=401 volume_a3_per_cell=143 n_ef_per_ev_cell=0.53 magmom_total_mub_per_fu=0.00 pbc="T T T"
Os -4.412 -0.339 2.984
Os -6.799 0.253 10.579
Os -4.088 0.970 7.010
Os -0.891 0.275 5.782
Zr 0.000 0.000 0.000
Zr -6.192 -0.101 5.289
Ge -1.903 0.681 7.889
Ge -2.511 -0.709 4.354

11
Lattice="6.778 0.000 0.000 3.389 5.870 0.000 3.389 1.957 5.843" Properties=species:S:1:pos:R:3 comment="Ti6Nb2Al2Zn (GGA-PBE, relaxed)" e_form_mev_per_atom=664 volume_a3_per_cell=232 n_ef_per_ev_cell=12.40 magmom_total_mub_per_fu=0.00 pbc="T T T"
Nb 6.778 3.913 4.254
Nb 6.778 3.913 1.589
Ti 6.778 1.489 2.234
Ti 8.878 5.126 2.234
Ti 6.778 6.338 3.609
Ti 4.679 2.701 3.609
Ti 8.878 2.701 3.609
Ti 4.679 5.126 2.234
Al 10.167 5.870 4.594
Al 3.389 1.957 1.248
Zn 0.000 0.000 0.000

24
Lattice="10.182 -0.458 0.000 -4.191 9.287 0.000 0.000 0.000 2.795" Properties=species:S:1:pos:R:3 comment="Na8B13C3 (GGA-PBE, relaxed)" e_form_mev_per_atom=185 volume_a3_per_cell=259 n_ef_per_ev_cell=5.19 magmom_total_mub_per_fu=0.00 pbc="T T T"
B 2.850 0.338 0.000
B 8.866 1.486 1.397
B 2.313 7.260 0.000
B 6.683 6.006 0.000
B 5.736 4.568 0.000
B 3.815 1.727 0.000
B -2.897 7.359 1.397
B 0.034 3.927 0.000
B 4.425 2.614 1.397
B 0.679 4.867 1.397
B -1.943 8.764 1.397
B 1.661 6.306 1.397
B 3.309 8.746 0.000
Na 4.502 6.630 1.397
Na 8.050 4.180 1.397
Na 6.609 1.977 0.000
Na 5.096 -0.213 1.397
Na 5.991 8.826 0.000
Na -0.622 6.860 0.000
Na 1.511 2.182 1.397
Na 3.007 4.419 0.000
C -0.852 2.636 0.000
C 5.300 3.896 1.397
C 7.954 0.136 1.397

4
Lattice="-0.925 -4.202 -2.882 0.105 -4.702 2.169 -4.399 -2.658 0.634" Properties=species:S:1:pos:R:3 comment="SrLi2W (GGA-PBE, relaxed)" e_form_mev_per_atom=1120 volume_a3_per_cell=98 n_ef_per_ev_cell=3.95 magmom_total_mub_per_fu=3.57 pbc="T T T"
Li -1.305 -2.890 -0.020
Li 0.000 0.000 0.000
Sr -2.609 -5.781 -0.039
W -3.914 -8.671 -0.059

14
Lattice="-7.042 0.542 0.789 -0.927 -5.321 -4.619 0.238 -4.680 5.343" Properties=species:S:1:pos:R:3 comment="LaAs3Au3 (GGA-PBE, relaxed)" e_form_mev_per_atom=-163 volume_a3_per_cell=359 n_ef_per_ev_cell=8.60 magmom_total_mub_per_fu=0.00 pbc="T T T"
As -0.404 -3.830 -0.974
As -4.216 -3.719 -3.070
As -1.642 -2.204 2.869
As -0.285 -6.170 1.698
As -3.753 -1.059 -0.760
As -5.162 -1.933 3.263
Au -0.576 -6.330 -0.793
Au -3.343 -3.239 4.401
Au -5.745 -2.253 -1.718
Au -3.461 -0.899 1.730
Au -2.224 -2.525 -2.112
Au -0.113 -3.670 1.517
La 0.000 0.000 0.000
La -3.865 -4.729 0.756

5
Lattice="-1.932 -1.351 -3.561 4.029 -1.816 -4.057 0.962 -5.859 -0.859" Properties=species:S:1:pos:R:3 comment="Th2Zn2In (GGA-PBE, relaxed)" e_form_mev_per_atom=-269 volume_a3_per_cell=121 n_ef_per_ev_cell=4.82 magmom_total_mub_per_fu=0.00 pbc="T T T"
Th 1.014 -2.484 -2.168
Th 2.046 -6.542 -6.309
In 0.000 0.000 0.000
Zn 2.177 -3.660 -4.913
Zn 0.883 -5.366 -3.564

12
Lattice="6.282 0.000 0.010 -3.140 5.441 0.010 -1.063 -1.840 11.800" Properties=species:S:1:pos:R:3 comment="AcPr3Y6Tm2 (GGA-PBE, relaxed)" e_form_mev_per_atom=26 volume_a3_per_cell=404 n_ef_per_ev_cell=15.83 magmom_total_mub_per_fu=0.00 pbc="T T T"
Pr -2.098 3.613 5.910
Pr 4.178 -0.012 5.910
Pr 1.040 1.800 5.910
Tm 0.000 3.628 0.010
Tm 3.142 1.813 0.010
Y -0.030 3.606 8.870
Y 2.110 -0.005 2.951
Y 3.138 1.776 8.870
Y -0.003 -0.005 8.859
Y 2.082 3.606 2.962
Y -1.058 1.825 2.951
Ac 0.000 0.000 0.000

4
Lattice="-0.997 -0.324 -2.698 0.771 -2.789 0.050 -6.465 -1.741 2.597" Properties=species:S:1:pos:R:3 comment="AlRh2Au (GGA-PBE, relaxed)" e_form_mev_per_atom=-298 volume_a3_per_cell=60 n_ef_per_ev_cell=4.34 magmom_total_mub_per_fu=0.69 pbc="T T T"
Rh -0.091 -0.024 0.036
Rh -1.870 -2.030 -0.618
Al -3.101 -0.835 1.245
Au -4.862 -2.835 0.584

4
Lattice="7.755 -0.022 -0.045 -2.876 3.761 -0.010 2.003 1.540 2.998" Properties=species:S:1:pos:R:3 comment="Ca2CoAs (GGA-PBE, relaxed)" e_form_mev_per_atom=-271 volume_a3_per_cell=88 n_ef_per_ev_cell=2.97 magmom_total_mub_per_fu=1.57 pbc="T T T"
Ca 0.000 0.000 0.000
Ca 4.879 0.759 1.477
Co -0.437 2.650 1.494
As 2.440 1.870 -0.027

10
Lattice="3.615 0.000 0.000 0.000 3.615 0.000 0.000 0.000 22.169" Properties=species:S:1:pos:R:3 comment="Pm5Pb4Br (GGA-PBE, relaxed)" e_form_raw_ev_per_atom=-0.61 volume_a3_per_cell=290 n_ef_per_ev_cell=9.96 magmom_total_mub_per_fu=0.00 pbc="T T T"
Pb 0.000 0.000 8.802
Pb 0.000 0.000 4.254
Pb 0.000 0.000 17.915
Pb 0.000 0.000 13.367
Pm 1.807 1.807 6.526
Pm 1.807 1.807 2.080
Pm 1.807 1.807 20.089
Pm 1.807 1.807 15.643
Pm 1.807 1.807 11.085
Br 0.000 0.000 0.000

4
Lattice="-3.452 1.790 2.686 -2.867 -2.490 -2.025 0.648 -3.109 2.905" Properties=species:S:1:pos:R:3 comment="DyMg2Ge (GGA-PBE, relaxed)" e_form_mev_per_atom=-386 volume_a3_per_cell=88 n_ef_per_ev_cell=0.55 magmom_total_mub_per_fu=0.00 pbc="T T T"
Mg 0.324 -1.554 1.453
Mg -1.434 -1.245 -1.013
Ge -2.836 -1.904 1.783
Dy -1.726 0.895 1.343